(1)
A relaxed structure of Ac5Pu. Source: Alexandria via LeMat-Bulk, functional PBE.

Values from the calculation:
Calculated formation energy ... 0.123 eV per atom
Crystal system ... orthorhombic

Lattice parameters (Å, degrees): 8.7224 8.7224 5.5461 90.00 90.00 143.17
Fractional coordinates of all 6 atoms:
Ac: 0.0000 0.0000 0.0000
Ac: 0.1618 0.8382 0.5000
Ac: 0.3369 0.6631 0.0000
Ac: 0.6631 0.3369 0.0000
Ac: 0.8382 0.1618 0.5000
Pu: 0.5000 0.5000 0.5000

***

(2)
A relaxed structure of Ac3Pu. Source: Alexandria via LeMat-Bulk, functional PBE.

Values from the calculation:
Calculated formation energy ... 0.180 eV per atom
Crystal system ... tetragonal
Energy above the lowest structure with this stoichiometry ... 0 meV per atom

Lattice parameters (Å, degrees): 6.6683 6.6683 6.6683 131.83 131.83 70.49
Fractional coordinates of all 4 atoms:
Ac: 0.0000 0.0000 0.0000
Ac: 0.2500 0.7500 0.5000
Ac: 0.7500 0.2500 0.5000
Pu: 0.5000 0.5000 0.0000

***

(3)
A relaxed structure of Ac4Pu. Source: Alexandria via LeMat-Bulk, functional PBE.

Values from the calculation:
Calculated formation energy ... 0.426 eV per atom
Crystal system ... cubic

Lattice parameters (Å, degrees): 6.1249 6.1249 6.1249 90.00 90.00 90.00
Fractional coordinates of all 5 atoms:
Ac: 0.0000 0.0000 0.0000
Ac: 0.0000 0.5000 0.5000
Ac: 0.5000 0.0000 0.5000
Ac: 0.5000 0.5000 0.0000
Pu: 0.5000 0.5000 0.5000

***

(4)
A relaxed structure of Rb3AcPu2S6. Source: Alexandria via LeMat-Bulk, functional PBE.

Values from the calculation:
Crystal system ... monoclinic
Formation energy (no corrections) ... -1.644 eV per atom

Lattice parameters (Å, degrees): 7.3697 7.3697 8.0717 98.78 98.78 120.00
Fractional coordinates of all 12 atoms:
Rb: 0.0000 0.0000 0.0000
Rb: 0.3347 0.6653 0.0000
Rb: 0.6653 0.3347 0.0000
Ac: 0.5000 0.5000 0.5000
Pu: 0.1668 0.8332 0.5000
Pu: 0.8332 0.1668 0.5000
S: 0.0839 0.4349 0.3054
S: 0.2139 0.2139 0.6946
S: 0.4349 0.0839 0.3054
S: 0.5651 0.9161 0.6946
S: 0.7861 0.7861 0.3054
S: 0.9161 0.5651 0.6946

***

(5)
A relaxed structure of Rb3Ac3PuS8. Source: Alexandria via LeMat-Bulk, functional PBE.

Values from the calculation:
Crystal system ... trigonal
Formation energy (no corrections) ... -1.771 eV per atom

Lattice parameters (Å, degrees): 9.2918 9.2918 9.2918 56.14 56.14 56.14
Fractional coordinates of all 15 atoms:
Rb: 0.0000 0.5000 0.5000
Rb: 0.5000 0.0000 0.5000
Rb: 0.5000 0.5000 0.0000
Ac: 0.0000 0.0000 0.5000
Ac: 0.0000 0.5000 0.0000
Ac: 0.5000 0.0000 0.0000
Pu: 0.5000 0.5000 0.5000
S: 0.2347 0.2347 0.2347
S: 0.2562 0.7154 0.7154
S: 0.2846 0.2846 0.7438
S: 0.2846 0.7438 0.2846
S: 0.7154 0.2562 0.7154
S: 0.7154 0.7154 0.2562
S: 0.7438 0.2846 0.2846
S: 0.7653 0.7653 0.7653

***

(6)
A relaxed structure of Rb3Ac3PuSe8. Source: Alexandria via LeMat-Bulk, functional PBE.

Values from the calculation:
Crystal system ... trigonal
Formation energy (no corrections) ... -1.672 eV per atom

Lattice parameters (Å, degrees): 9.6639 9.6639 9.6639 55.86 55.86 55.86
Fractional coordinates of all 15 atoms:
Rb: 0.0000 0.5000 0.5000
Rb: 0.5000 0.0000 0.5000
Rb: 0.5000 0.5000 0.0000
Ac: 0.0000 0.0000 0.5000
Ac: 0.0000 0.5000 0.0000
Ac: 0.5000 0.0000 0.0000
Pu: 0.5000 0.5000 0.5000
Se: 0.2361 0.2361 0.2361
Se: 0.2555 0.7184 0.7184
Se: 0.2816 0.2816 0.7445
Se: 0.2816 0.7445 0.2816
Se: 0.7184 0.2555 0.7184
Se: 0.7184 0.7184 0.2555
Se: 0.7445 0.2816 0.2816
Se: 0.7639 0.7639 0.7639

***

Record-wise D(E_F) values, in states/eV/atom: 2.962 3.723 1.591 1.731 0.743 0.780
Record-wise mass density values, in g/cm3: 9.054 9.523 8.325 5.345 4.623 5.219